# 1
Below is Ga2SiHg at its PBEsol-relaxed geometry, with properties calculated at the meta-GGA SCAN level.

Output
spin magnetization = 0.0 μB per cell
symmetry = No. 225
ΔE_f (raw) = 0.44 eV/atom

Lattice parameters (Å, degrees): 4.740 4.740 4.740 60.00 60.00 60.00
Atoms (fractional coordinates):
1 Si 0.000 0.000 0.000
2 Hg 0.500 0.500 0.500
3 Ga 0.250 0.250 0.250
4 Ga 0.750 0.750 0.750

# 2
Below is Mo2SeCl at its PBEsol-relaxed geometry, with properties calculated at the meta-GGA SCAN level.

Output
spin magnetization = 0.0 μB per cell
symmetry = No. 99
ΔE_f (raw) = 0.02 eV/atom

Lattice parameters (Å, degrees): 3.391 3.391 6.738 90.00 90.00 90.00
Atoms (fractional coordinates):
1 Mo 0.000 0.000 0.043
2 Mo 0.500 0.500 0.208
3 Se 0.000 0.000 0.406
4 Cl 0.500 0.500 0.843

- Which of these has the highest ΔE_f (raw)?
  Ga2SiHg